No. 1
VASP calculation (PBE+U) on LiMn2NiF after structural relaxation.

## Properties
DFT total energy: -19.67 eV/cell
Total magnetic moment: 1.99 μB/atom

```
data_LiMn2NiF
_chemical_formula_sum 'Li1 Mn2 Ni1 F1'
_symmetry_space_group_name_H-M 'P 4/m m m'
_symmetry_Int_Tables_number 123
_symmetry_space_group_name_Hall '-P 4 2'
_cell_length_a 4.719
_cell_length_b 4.719
_cell_length_c 4.425
_cell_angle_alpha 90.00
_cell_angle_beta 90.00
_cell_angle_gamma 90.00
loop_
_atom_site_label
_atom_site_fract_x
_atom_site_fract_y
_atom_site_fract_z
Li1 0.000 0.000 0.000
Mn1 0.000 0.500 0.500
Ni1 0.000 0.000 0.500
F1 0.500 0.500 0.000
```



No. 2
VASP calculation (PBE+U) on Li2MnNiF8 after structural relaxation.

## Properties
DFT total energy: -112.32 eV/cell
Total magnetic moment: 0.58 μB/atom

```
data_Li2MnNiF8
_chemical_formula_sum 'Li4 Mn2 Ni2 F16'
_symmetry_space_group_name_H-M 'I -4 m 2'
_symmetry_Int_Tables_number 119
_symmetry_space_group_name_Hall 'I -4 -2'
_cell_length_a 6.267
_cell_length_b 6.267
_cell_length_c 7.050
_cell_angle_alpha 90.00
_cell_angle_beta 90.00
_cell_angle_gamma 90.00
loop_
_atom_site_label
_atom_site_fract_x
_atom_site_fract_y
_atom_site_fract_z
Li1 0.000 0.000 0.000
Li2 0.000 0.500 0.250
Mn1 0.000 0.000 0.500
Ni1 0.000 0.500 0.750
F1 0.000 0.207 0.799
F2 0.000 0.296 0.450
```



No. 3
VASP calculation (PBE+U) on Li6MnO2F4 after structural relaxation.

## Properties
DFT total energy: -134.84 eV/cell
Total magnetic moment: 0.38 μB/atom

```
data_Li6MnO2F4
_chemical_formula_sum 'Li12 Mn2 O4 F8'
_symmetry_space_group_name_H-M 'P -1'
_symmetry_Int_Tables_number 2
_cell_length_a 5.584
_cell_length_b 7.030
_cell_length_c 8.382
_cell_angle_alpha 89.99
_cell_angle_beta 89.94
_cell_angle_gamma 71.35
loop_
_symmetry_equiv_pos_as_xyz
'x,y,z'
'-x,-y,-z'
loop_
_atom_site_label
_atom_site_fract_x
_atom_site_fract_y
_atom_site_fract_z
Li1 0.011 0.004 0.155
Li2 0.011 0.504 0.345
Li3 0.314 0.672 0.799
Li4 0.315 0.172 0.701
Li5 0.404 0.176 0.339
Li6 0.405 0.676 0.160
Mn1 0.000 0.000 0.500
Mn2 0.000 0.500 0.000
O1 0.238 0.423 0.817
O2 0.238 0.923 0.683
F1 0.138 0.291 0.495
F2 0.138 0.791 0.005
F3 0.318 0.931 0.281
F4 0.319 0.431 0.218
```



No. 4
VASP calculation (PBE+U) on Li6Mn2O5F2 after structural relaxation.

## Properties
DFT total energy: -171.20 eV/cell
Total magnetic moment: 0.53 μB/atom

```
data_Li6Mn2O5F2
_chemical_formula_sum 'Li12 Mn4 O10 F4'
_symmetry_space_group_name_H-M 'P 1'
_symmetry_Int_Tables_number 1
_cell_length_a 5.819
_cell_length_b 5.820
_cell_length_c 9.944
_cell_angle_alpha 97.29
_cell_angle_beta 92.79
_cell_angle_gamma 117.83
loop_
_symmetry_equiv_pos_as_xyz
'x,y,z'
loop_
_atom_site_label
_atom_site_fract_x
_atom_site_fract_y
_atom_site_fract_z
Li1 0.000 0.000 0.000
Li2 0.004 0.453 0.998
Li3 0.184 0.755 0.715
Li4 0.235 0.480 0.501
Li5 0.346 0.185 0.224
Li6 0.365 0.722 0.210
Li7 0.446 0.441 0.002
Li8 0.628 0.198 0.712
Li9 0.667 0.778 0.683
Li10 0.789 0.040 0.490
Li11 0.809 0.508 0.513
Li12 0.840 0.675 0.191
Mn1 0.156 0.254 0.738
Mn2 0.270 0.990 0.468
Mn3 0.483 0.950 0.972
Mn4 0.864 0.198 0.232
O1 0.008 0.917 0.604
O2 0.088 0.143 0.367
O3 0.160 0.338 0.131
O4 0.281 0.588 0.868
O5 0.339 0.115 0.854
O6 0.447 0.861 0.576
O7 0.548 0.074 0.344
O8 0.658 0.823 0.092
O9 0.666 0.292 0.097
O10 0.968 0.372 0.630
F1 0.142 0.819 0.097
F2 0.504 0.412 0.610
F3 0.808 0.052 0.846
F4 0.983 0.601 0.353
```



No. 5
VASP calculation (PBE+U) on Li2Mn4O5F3 after structural relaxation.

## Properties
DFT total energy: -370.52 eV/cell
Total magnetic moment: 1.21 μB/atom

```
data_Li2Mn4O5F3
_chemical_formula_sum 'Li8 Mn16 O20 F12'
_symmetry_space_group_name_H-M 'C 1 c 1'
_symmetry_Int_Tables_number 9
_cell_length_a 10.888
_cell_length_b 5.851
_cell_length_c 11.035
_cell_angle_alpha 90.00
_cell_angle_beta 109.66
_cell_angle_gamma 90.00
loop_
_symmetry_equiv_pos_as_xyz
'x,y,z'
'x,-y,z+1/2'
'x+1/2,y+1/2,z'
'x+1/2,-y+1/2,z+1/2'
loop_
_atom_site_label
_atom_site_fract_x
_atom_site_fract_y
_atom_site_fract_z
Li1 0.000 0.230 0.000
Li2 0.418 0.248 0.120
Mn1 0.202 0.244 0.564
Mn2 0.203 0.005 0.824
Mn3 0.209 0.497 0.316
Mn4 0.462 0.258 0.819
O1 0.070 0.028 0.433
O2 0.088 0.250 0.225
O3 0.115 0.252 0.708
O4 0.304 0.248 0.426
O5 0.330 0.254 0.907
F1 0.081 0.481 0.944
F2 0.333 0.492 0.181
F3 0.353 0.018 0.695
```



No. 6
VASP calculation (PBE+U) on LiMn7O7F after structural relaxation.

## Properties
DFT total energy: -112.76 eV/cell
Total magnetic moment: 0.19 μB/atom

```
data_LiMn7O7F
_chemical_formula_sum 'Li1 Mn7 O7 F1'
_symmetry_space_group_name_H-M 'P 3 m 1'
_symmetry_Int_Tables_number 156
_cell_length_a 3.4689
_cell_length_b 3.4689
_cell_length_c 21.0552
_cell_angle_alpha 90.00
_cell_angle_beta 90.00
_cell_angle_gamma 120.00
loop_
_symmetry_equiv_pos_as_xyz
'x,y,z'
'-y,x-y,z'
'-x+y,-x,z'
'-y,-x,z'
'-x+y,y,z'
'x,x-y,z'
loop_
_atom_site_label
_atom_site_fract_x
_atom_site_fract_y
_atom_site_fract_z
Li1 0.0000 0.0000 0.0000
Mn1 0.0000 0.0000 0.2577
Mn2 0.0000 0.0000 0.5095
Mn3 0.0000 0.0000 0.7574
Mn4 0.6667 0.3333 0.1336
Mn5 0.6667 0.3333 0.3838
Mn6 0.6667 0.3333 0.6321
Mn7 0.6667 0.3333 0.8837
O1 0.0000 0.0000 0.1565
O2 0.0000 0.0000 0.4095
O3 0.0000 0.0000 0.6555
O4 0.0000 0.0000 0.9106
O5 0.6667 0.3333 0.2829
O6 0.6667 0.3333 0.5319
O7 0.6667 0.3333 0.7831
F1 0.6667 0.3333 0.0330
```



No. 7
VASP calculation (PBE+U) on LiMn3O2F6 after structural relaxation.

## Properties
DFT total energy: -146.46 eV/cell
Total magnetic moment: 1.00 μB/atom

```
data_LiMn3O2F6
_chemical_formula_sum 'Li2 Mn6 O4 F12'
_symmetry_space_group_name_H-M 'P 1 21/c 1'
_symmetry_Int_Tables_number 14
_cell_length_a 5.601
_cell_length_b 4.776
_cell_length_c 10.303
_cell_angle_alpha 90.00
_cell_angle_beta 95.34
_cell_angle_gamma 90.00
loop_
_symmetry_equiv_pos_as_xyz
'x,y,z'
'-x,-y,-z'
'-x,y+1/2,-z+1/2'
'x,-y+1/2,z+1/2'
loop_
_atom_site_label
_atom_site_fract_x
_atom_site_fract_y
_atom_site_fract_z
Li1 0.000 0.000 0.000
Mn1 0.265 0.023 0.751
Mn2 0.500 0.000 0.500
O1 0.492 0.166 0.328
F1 0.005 0.708 0.681
F2 0.211 0.200 0.574
F3 0.290 0.683 0.422
```



No. 8
VASP calculation (PBE+U) on Li4MnO2F3 after structural relaxation.

## Properties
DFT total energy: -107.02 eV/cell
Total magnetic moment: 0.40 μB/atom

```
data_Li4MnO2F3
_chemical_formula_sum 'Li8 Mn2 O4 F6'
_symmetry_space_group_name_H-M 'P -1'
_symmetry_Int_Tables_number 2
_cell_length_a 5.920
_cell_length_b 6.022
_cell_length_c 6.559
_cell_angle_alpha 105.56
_cell_angle_beta 92.67
_cell_angle_gamma 100.51
loop_
_symmetry_equiv_pos_as_xyz
'x,y,z'
'-x,-y,-z'
loop_
_atom_site_label
_atom_site_fract_x
_atom_site_fract_y
_atom_site_fract_z
Li1 0.000 0.000 0.000
Li2 0.000 0.327 0.819
Li3 0.277 0.447 0.251
Li4 0.367 0.136 0.514
Li5 0.500 0.000 0.000
Mn1 0.181 0.730 0.644
O1 0.042 0.682 0.885
O2 0.293 0.782 0.395
F1 0.164 0.364 0.521
F2 0.222 0.086 0.791
F3 0.475 0.237 0.231
```



Q: DFT total energy of number 6 (LiMn7O7F)?
A: -112.76 eV/cell



Q: Which of these has the highest DFT total energy?
A: LiMn2NiF



Q: Look up the DFT total energy of the eighth one.
A: -107.02 eV/cell



Repeat the fifth record exactly.
VASP calculation (PBE+U) on Li2Mn4O5F3 after structural relaxation.

## Properties
DFT total energy: -370.52 eV/cell
Total magnetic moment: 1.21 μB/atom

```
data_Li2Mn4O5F3
_chemical_formula_sum 'Li8 Mn16 O20 F12'
_symmetry_space_group_name_H-M 'C 1 c 1'
_symmetry_Int_Tables_number 9
_cell_length_a 10.888
_cell_length_b 5.851
_cell_length_c 11.035
_cell_angle_alpha 90.00
_cell_angle_beta 109.66
_cell_angle_gamma 90.00
loop_
_symmetry_equiv_pos_as_xyz
'x,y,z'
'x,-y,z+1/2'
'x+1/2,y+1/2,z'
'x+1/2,-y+1/2,z+1/2'
loop_
_atom_site_label
_atom_site_fract_x
_atom_site_fract_y
_atom_site_fract_z
Li1 0.000 0.230 0.000
Li2 0.418 0.248 0.120
Mn1 0.202 0.244 0.564
Mn2 0.203 0.005 0.824
Mn3 0.209 0.497 0.316
Mn4 0.462 0.258 0.819
O1 0.070 0.028 0.433
O2 0.088 0.250 0.225
O3 0.115 0.252 0.708
O4 0.304 0.248 0.426
O5 0.330 0.254 0.907
F1 0.081 0.481 0.944
F2 0.333 0.492 0.181
F3 0.353 0.018 0.695
```